Entry 1:
! AgPdAu | the Alexandria database | PBE | relaxed; values from VASP
&SYSTEM
  ibrav = 0, nat = 6, ntyp = 3
/
ATOMIC_SPECIES
Ag 107.87 Ag.upf
Au 196.97 Au.upf
Pd 106.42 Pd.upf
CELL_PARAMETERS angstrom
-1.657 -2.032 1.246
2.302 -0.924 4.937
-0.964 6.780 3.027
ATOMIC_POSITIONS angstrom
Ag -0.943 0.650 2.218
Au -0.797 4.838 5.875
Pd 0.284 2.298 6.543
Ag 1.004 0.392 4.391
Au -0.106 2.984 3.761
Pd -1.188 5.524 3.093
! energy above the lowest structure with this stoichiometry	0	meV/atom
! DFT total energy	-11.5	eV per formula unit
! DOS(E_F)	2.44	states/eV per cell

=====

Entry 2:
! AgPd3Au3 | the Alexandria database | PBE | relaxed; values from VASP
&SYSTEM
  ibrav = 0, nat = 14, ntyp = 3
/
ATOMIC_SPECIES
Au 196.97 Au.upf
Pd 106.42 Pd.upf
Ag 107.87 Ag.upf
CELL_PARAMETERS angstrom
-3.623 -4.227 1.710
-5.335 1.583 -7.392
5.134 -3.894 1.252
ATOMIC_POSITIONS angstrom
Au -3.269 -1.681 -1.165
Au -0.462 -3.811 -0.483
Au -3.362 -2.727 -3.948
Pd 1.659 -3.006 1.054
Ag -3.833 1.137 -5.311
Au -1.501 -0.675 -4.852
Au -5.689 -0.963 -4.517
Pd -1.008 -2.214 -2.642
Au 1.300 -1.635 -1.289
Ag -5.125 -3.782 -0.371
Pd -5.483 -3.532 -5.485
Pd -2.816 -4.324 -1.789
Pd -2.710 -3.162 1.278
Pd -6.248 0.517 -6.960
! energy above the lowest structure with this stoichiometry	84	meV/atom
! DFT total energy	-28.0	eV per formula unit
! DOS(E_F)	10.78	states/eV per cell

=====

Entry 3:
! Ag6PdAu5 | the Alexandria database | PBE | relaxed; values from VASP
&SYSTEM
  ibrav = 0, nat = 12, ntyp = 3
/
ATOMIC_SPECIES
Au 196.97 Au.upf
Pd 106.42 Pd.upf
Ag 107.87 Ag.upf
CELL_PARAMETERS angstrom
-4.548 1.669 -1.461
-5.049 -8.294 0.317
-3.574 -3.348 4.340
ATOMIC_POSITIONS angstrom
Au -5.743 -7.766 3.083
Pd 0.000 0.000 0.000
Ag -7.214 -4.975 -0.861
Ag -8.153 -9.429 2.828
Ag -5.018 -0.545 0.367
Ag -2.382 -1.650 -0.283
Au -2.880 -3.877 1.574
Ag -7.896 -4.423 1.937
Au -7.668 -7.197 0.964
Au -5.502 -2.777 2.232
Au -4.798 -3.313 -0.572
Ag -5.275 -5.551 1.259
! energy above the lowest structure with this stoichiometry	10	meV/atom
! DFT total energy	-39.3	eV per formula unit
! DOS(E_F)	3.24	states/eV per cell

=====

Entry 4:
! Ag2PdAu3 | the Alexandria database | PBE | relaxed; values from VASP
&SYSTEM
  ibrav = 0, nat = 12, ntyp = 3
/
ATOMIC_SPECIES
Pd 106.42 Pd.upf
Au 196.97 Au.upf
Ag 107.87 Ag.upf
CELL_PARAMETERS angstrom
-3.833 -1.238 0.941
2.021 -5.195 1.393
1.239 2.514 8.357
ATOMIC_POSITIONS angstrom
Pd -2.313 -0.943 2.977
Pd 1.739 -2.976 7.715
Au -0.101 -2.024 1.471
Au -0.472 -1.896 9.221
Ag 0.914 -4.652 2.148
Au -1.302 -3.548 3.668
Ag -1.487 0.732 8.544
Au 1.330 -3.824 4.932
Au 0.728 -0.372 7.023
Au -1.904 -0.096 5.760
Ag -0.886 -2.713 6.461
Ag 0.312 -1.206 4.231
! energy above the lowest structure with this stoichiometry	0	meV/atom
! DFT total energy	-21.2	eV per formula unit
! DOS(E_F)	2.73	states/eV per cell

=====

Entry 5:
! Ag3Pd2Au7 | the Alexandria database | PBE | relaxed; values from VASP
&SYSTEM
  ibrav = 0, nat = 12, ntyp = 3
/
ATOMIC_SPECIES
Au 196.97 Au.upf
Pd 106.42 Pd.upf
Ag 107.87 Ag.upf
CELL_PARAMETERS angstrom
-1.830 -0.824 3.614
-2.019 -3.280 -1.770
11.023 -6.285 4.148
ATOMIC_POSITIONS angstrom
Au 6.534 -8.746 3.679
Au 0.640 -1.643 2.314
Pd 3.061 -2.422 0.997
Au 3.402 -5.131 0.553
Ag 1.129 -4.468 1.917
Ag 6.046 -5.921 4.075
Pd 5.944 -7.142 1.381
Au 0.000 0.000 0.000
Au 5.603 -4.434 1.826
Au 8.452 -6.688 2.754
Ag -1.924 -2.052 0.922
Au 0.553 -2.876 -0.376
! energy above the lowest structure with this stoichiometry	22	meV/atom
! DFT total energy	-41.2	eV per formula unit
! DOS(E_F)	2.64	states/eV per cell

=====

Entry 6:
! Ag4Pd6Au | the Alexandria database | PBE | relaxed; values from VASP
&SYSTEM
  ibrav = 0, nat = 11, ntyp = 3
/
ATOMIC_SPECIES
Pd 106.42 Pd.upf
Ag 107.87 Ag.upf
Au 196.97 Au.upf
CELL_PARAMETERS angstrom
6.058 -2.425 -4.486
-4.202 6.519 1.598
-1.563 2.425 7.374
ATOMIC_POSITIONS angstrom
Pd -3.135 4.864 6.708
Pd -4.112 6.379 4.570
Pd 2.741 0.140 -1.153
Pd -0.966 4.080 3.333
Ag 0.217 2.384 1.590
Pd 0.928 2.047 -1.444
Ag -1.056 1.639 4.657
Ag -2.665 4.135 1.135
Pd 2.247 0.000 1.444
Au 0.000 0.000 0.000
Ag -1.968 7.305 6.076
! DFT total energy	-43.6	eV per formula unit
! DOS(E_F)	11.10	states/eV per cell

=====

Entry 7:
! AgPd2Au3 | the Alexandria database | PBE | relaxed; values from VASP
&SYSTEM
  ibrav = 0, nat = 6, ntyp = 3
/
ATOMIC_SPECIES
Au 196.97 Au.upf
Pd 106.42 Pd.upf
Ag 107.87 Ag.upf
CELL_PARAMETERS angstrom
2.899 0.000 0.000
0.000 2.899 0.000
0.000 0.000 12.170
ATOMIC_POSITIONS angstrom
Au 0.000 0.000 0.000
Pd 1.450 1.450 10.177
Pd 1.450 1.450 1.993
Au 0.000 0.000 8.192
Au 0.000 0.000 3.978
Ag 1.450 1.450 6.085
! energy above the lowest structure with this stoichiometry	24	meV/atom
! DFT total energy	-23.5	eV per formula unit
! DOS(E_F)	3.01	states/eV per cell

=====

Entry 8:
! Ag2PdAu2 | the Alexandria database | PBE | relaxed; values from VASP
&SYSTEM
  ibrav = 0, nat = 5, ntyp = 3
/
ATOMIC_SPECIES
Au 196.97 Au.upf
Ag 107.87 Ag.upf
Pd 106.42 Pd.upf
CELL_PARAMETERS angstrom
5.197 0.000 0.000
0.000 5.197 0.000
-2.599 -2.599 3.998
ATOMIC_POSITIONS angstrom
Au 2.599 2.599 1.302
Au 0.000 0.000 2.696
Ag 2.599 0.000 1.999
Pd 0.000 0.000 0.000
Ag 0.000 2.599 1.999
! energy above the lowest structure with this stoichiometry	450	meV/atom
! DFT total energy	-15.5	eV per formula unit
! DOS(E_F)	2.74	states/eV per cell

=====

Entry 9:
! Ag12Pd2Au5 | the Alexandria database | PBE | relaxed; values from VASP
&SYSTEM
  ibrav = 0, nat = 19, ntyp = 3
/
ATOMIC_SPECIES
Ag 107.87 Ag.upf
Pd 106.42 Pd.upf
Au 196.97 Au.upf
CELL_PARAMETERS angstrom
-2.139 -2.673 2.451
4.299 2.187 9.773
-2.734 6.485 8.321
ATOMIC_POSITIONS angstrom
Ag 1.196 7.537 16.524
Pd 2.626 3.209 9.428
Ag 1.748 3.038 12.096
Ag -1.679 3.152 5.598
Ag -1.035 2.652 12.868
Au -0.335 0.915 4.334
Ag 1.105 2.846 14.947
Pd -1.062 5.463 8.666
Au -1.015 0.765 7.186
Ag 0.460 3.347 7.678
Ag -2.356 4.961 14.233
Au -1.070 -1.337 1.226
Ag -1.625 5.099 11.400
Ag -2.323 2.961 8.450
Ag 1.051 0.899 9.146
Au -0.240 5.083 16.212
Ag -1.770 -1.539 4.021
Ag 1.781 1.038 6.312
Au 0.441 5.233 13.360
! DFT total energy	-60.8	eV per formula unit
! DOS(E_F)	5.19	states/eV per cell

=====

Entry 10:
! Ag16Pd6Au7 | the Alexandria database | PBE | relaxed; values from VASP
&SYSTEM
  ibrav = 0, nat = 29, ntyp = 3
/
ATOMIC_SPECIES
Ag 107.87 Ag.upf
Pd 106.42 Pd.upf
Au 196.97 Au.upf
CELL_PARAMETERS angstrom
-9.044 1.230 -1.265
-6.006 -6.043 3.507
-5.357 2.418 7.096
ATOMIC_POSITIONS angstrom
Ag -12.632 -0.071 2.451
Pd -8.636 -0.028 5.454
Ag -10.361 0.661 7.603
Au -4.522 0.615 -0.632
Au 0.000 0.000 0.000
Au -7.525 -2.407 1.121
Ag -15.174 -3.349 4.555
Ag -7.775 -2.324 6.887
Ag -17.930 -2.105 8.204
Ag -5.567 -3.399 2.938
Pd -10.579 -1.983 6.589
Ag -5.233 0.953 4.784
Au -5.682 -1.813 5.302
Pd -11.771 -2.368 3.884
Ag -10.761 -4.552 5.392
Ag -7.060 -0.829 3.231
Ag -13.347 -1.567 6.108
Ag -13.278 -2.737 8.855
Au -3.003 -3.022 1.754
Pd -8.846 -2.765 4.293
Au -7.201 1.824 2.915
Pd -11.562 0.370 5.045
Ag -7.129 0.342 0.483
Ag -10.046 -3.057 1.736
Ag -14.840 1.004 6.400
Au -2.679 1.209 3.548
Pd -9.828 -0.412 2.749
Ag -2.478 -0.291 1.134
Ag -9.646 2.157 3.947
! DFT total energy	-94.9	eV per formula unit
! DOS(E_F)	9.18	states/eV per cell

=====

Entry 11:
! Ag3Pd4Au2 | the Alexandria database | PBE | relaxed; values from VASP
&SYSTEM
  ibrav = 0, nat = 9, ntyp = 3
/
ATOMIC_SPECIES
Pd 106.42 Pd.upf
Ag 107.87 Ag.upf
Au 196.97 Au.upf
CELL_PARAMETERS angstrom
4.115 0.005 0.000
2.061 4.409 0.772
-0.003 1.024 8.471
ATOMIC_POSITIONS angstrom
Pd 4.114 0.349 2.824
Ag 0.000 0.000 0.000
Pd 2.059 5.089 6.419
Ag 4.115 3.521 5.234
Au 4.117 3.170 2.383
Au 2.056 2.268 6.859
Pd 2.058 1.581 1.204
Ag 2.058 1.917 4.008
Pd 4.115 3.857 8.038
! energy above the lowest structure with this stoichiometry	0	meV/atom
! DFT total energy	-36.5	eV per formula unit
! DOS(E_F)	3.41	states/eV per cell

=====

Entry 12:
! AgPdAu | the Alexandria database | PBE | relaxed; values from VASP
&SYSTEM
  ibrav = 0, nat = 3, ntyp = 3
/
ATOMIC_SPECIES
Ag 107.87 Ag.upf
Au 196.97 Au.upf
Pd 106.42 Pd.upf
CELL_PARAMETERS angstrom
-2.609 -0.584 -1.115
-1.099 -0.193 2.674
0.566 6.334 -0.881
ATOMIC_POSITIONS angstrom
Ag -0.851 3.927 -0.067
Au -0.008 0.038 -0.001
Pd -2.283 1.592 0.746
! energy above the lowest structure with this stoichiometry	2	meV/atom
! DFT total energy	-11.5	eV per formula unit
! DOS(E_F)	1.67	states/eV per cell

=====

no.,ΔH_f (0 K) (meV per atom)
1,-59
2,31
3,-49
4,-72
5,55
6,200
7,-71
8,390
9,10
10,166
11,-70
12,-57